Record 1
Compound: CaZr3Sn
Source: the Alexandria database
Functional: PBE
Structure: optimized geometry

The symmetry is Pm-3m, No. 221. The mass density is 5.5 g/cm³. The calculation puts the total energy at -24.8 eV for the cell shown. As for the energy of formation from the pure elements: 1375 meV per atom.

Cell: 5.0689 5.0689 5.0689 Å, 90.00 90.00 90.00°
Fractional positions:
Ca 0.0000 0.0000 0.0000
Zr 0.0000 0.0000 0.5000
Zr 0.0000 0.5000 0.0000
Zr 0.5000 0.0000 0.0000
Sn 0.5000 0.5000 0.5000


Record 2
Compound: Ca2ZrSn2
Source: the Alexandria database
Functional: PBE
Structure: optimized geometry

The symmetry is P4/mbm, No. 127. The mass density is 4.7 g/cm³. The calculation puts the total energy at -45.1 eV for the cell shown. As for the energy of formation from the pure elements: -400 meV per atom.

Cell: 7.7442 7.7442 4.8056 Å, 90.00 90.00 90.00°
Fractional positions:
Ca 0.1711 0.3289 0.0000
Ca 0.3289 0.8289 0.0000
Ca 0.6711 0.1711 0.0000
Ca 0.8289 0.6711 0.0000
Zr 0.0000 0.0000 0.5000
Zr 0.5000 0.5000 0.5000
Sn 0.1360 0.6360 0.5000
Sn 0.3640 0.1360 0.5000
Sn 0.6360 0.8640 0.5000
Sn 0.8640 0.3640 0.5000


Record 3
Compound: CaZrSn
Source: the Alexandria database
Functional: PBE
Structure: optimized geometry

The symmetry is R-3m, No. 166. The mass density is 4.9 g/cm³. The calculation puts the total energy at -30.1 eV for the cell shown. As for the energy of formation from the pure elements: -168 meV per atom.

Cell: 8.6284 8.6284 8.6284 Å, 33.16 33.16 33.16°
Fractional positions:
Ca 0.1322 0.1322 0.1322
Ca 0.8678 0.8678 0.8678
Zr 0.2936 0.2936 0.2936
Zr 0.7064 0.7064 0.7064
Sn 0.4160 0.4160 0.4160
Sn 0.5840 0.5840 0.5840


Question: Which of these has the highest mass density?
Answer: CaZr3Sn


Question: What is the formula in the second record?
Answer: Ca2ZrSn2


Question: What is the mass density in the third record?
Answer: 4.9 g/cm³